one:
VASP calculation (PBE-GGA) on a geometry-optimized Zn2AgTe2 structure.

a b c (Å): 5.4409 5.4409 5.5822
angles (deg): 60.83 60.83 90.00
Atoms (fractional coordinates):
1 Zn 0.3444 0.3444 0.3112
2 Te 0.7500 0.2500 0.5000
3 Zn 0.6556 0.6556 0.6888
4 Te 0.2500 0.7500 0.5000
5 Ag 0.0000 0.0000 0.0000

=====

two:
VASP calculation (PBE-GGA) on a geometry-optimized Zn2AgTe2 structure.

a b c (Å): 4.1214 4.1214 7.8686
angles (deg): 74.82 74.82 90.00
Atoms (fractional coordinates):
1 Ag 0.0000 0.0000 0.0000
2 Zn 0.2500 0.7500 0.5000
3 Zn 0.7500 0.2500 0.5000
4 Te 0.6239 0.6239 0.7521
5 Te 0.3761 0.3761 0.2479

=====

It is one that is the least stable of them.

=====

one:
VASP calculation (PBE-GGA) on a geometry-optimized ZnAg2Te2 structure.

a b c (Å): 4.0119 4.0119 8.1948
angles (deg): 75.83 75.83 90.00
Atoms (fractional coordinates):
1 Zn 0.0000 0.0000 0.0000
2 Ag 0.7500 0.2500 0.5000
3 Te 0.3876 0.3876 0.2249
4 Te 0.6124 0.6124 0.7751
5 Ag 0.2500 0.7500 0.5000

=====

two:
VASP calculation (PBE-GGA) on a geometry-optimized ZnAg2Te2 structure.

a b c (Å): 7.6342 7.6342 4.0101
angles (deg): 90.00 90.00 90.00
Atoms (fractional coordinates):
1 Te 0.3239 0.1761 0.5000
2 Ag 0.6316 0.1316 0.0000
3 Ag 0.3684 0.8684 0.0000
4 Te 0.8239 0.3239 0.5000
5 Ag 0.8684 0.6316 0.0000
6 Te 0.6761 0.8239 0.5000
7 Zn 0.5000 0.5000 0.0000
8 Ag 0.1316 0.3684 0.0000
9 Zn 0.0000 0.0000 0.0000
10 Te 0.1761 0.6761 0.5000

=====

It is two that is the least stable of them.

=====

one:
VASP calculation (PBE-GGA) on a geometry-optimized Zr2AgTe structure.

a b c (Å): 3.7998 3.8144 6.1637
angles (deg): 90.00 90.00 90.00
Atoms (fractional coordinates):
1 Zr 0.0000 0.0000 0.9912
2 Te 0.5000 0.5000 0.7673
3 Zr 0.5000 0.5000 0.2634
4 Ag 0.0000 0.0000 0.4780

=====

two:
VASP calculation (PBE-GGA) on a geometry-optimized Zr2AgTe structure.

a b c (Å): 5.8340 5.8340 5.8340
angles (deg): 144.60 129.96 62.78
Atoms (fractional coordinates):
1 Ag 0.5066 0.5066 0.0000
2 Zr 0.2538 0.7538 0.5000
3 Zr 0.9914 0.9914 0.0000
4 Te 0.7482 0.2482 0.5000

=====

It is two that is the least stable of them.

=====

one:
VASP calculation (PBE-GGA) on a geometry-optimized Zr2AgTe structure.

a b c (Å): 4.9506 4.9506 4.9506
angles (deg): 60.00 60.00 60.00
Atoms (fractional coordinates):
1 Zr 0.7500 0.7500 0.7500
2 Te 0.5000 0.5000 0.5000
3 Zr 0.2500 0.2500 0.2500
4 Ag 0.0000 0.0000 0.0000

=====

two:
VASP calculation (PBE-GGA) on a geometry-optimized Zr2AgTe structure.

a b c (Å): 4.1694 3.6542 6.1112
angles (deg): 72.31 90.00 90.00
Atoms (fractional coordinates):
1 Ag 0.0000 0.7004 0.4652
2 Zr 0.5000 0.2922 0.2882
3 Te 0.5000 0.5517 0.7788
4 Zr 0.0000 0.9556 0.9678

=====

three:
VASP calculation (PBE-GGA) on a geometry-optimized Zr2AgTe structure.

a b c (Å): 5.2639 5.2639 5.2639
angles (deg): 128.97 128.97 75.06
Atoms (fractional coordinates):
1 Ag 0.2500 0.7500 0.5000
2 Zr 0.5000 0.5000 0.0000
3 Te 0.7500 0.2500 0.5000
4 Zr 0.0000 0.0000 0.0000

=====

It is one that is the least stable of them.